This record from Alexandria via LeMat-Bulk describes a relaxed NaMn2AgF6 crystal. The functional is PBE with a Hubbard U. Values from VASP.

The structure in Quantum ESPRESSO input format:
```
&SYSTEM
  ibrav = 0, nat = 10, ntyp = 4
/
ATOMIC_SPECIES
Na 22.99 Na.upf
Mn 54.94 Mn.upf
Ag 107.87 Ag.upf
F 19.00 F.upf
CELL_PARAMETERS angstrom
2.892 1.670 4.850
-2.892 1.670 4.850
0.000 -3.340 4.850
ATOMIC_POSITIONS crystal
Na 0.000 0.000 0.000
Mn 0.220 0.220 0.220
Mn 0.714 0.714 0.714
Ag 0.481 0.481 0.481
F 0.056 0.442 0.874
F 0.352 0.955 0.578
F 0.442 0.874 0.056
F 0.578 0.352 0.955
F 0.874 0.056 0.442
F 0.955 0.578 0.352
```

space group = R3
total energy = -5.392 eV/atom
total moment = 10.0 μB per formula unit